NaCaAu3 | GGA-PBE | optimized geometry

Cell: 5.372 5.372 11.242 Å, 103.82 103.82 90.00°
Sites, in units of the cell vectors:
Na1 0.858 0.358 0.715
Au1 0.669 0.669 0.338
Ca1 0.000 0.000 0.000
Au2 0.121 0.869 0.243
Au3 0.131 0.879 0.757
Na2 0.642 0.142 0.285
Au4 0.121 0.374 0.243
Au5 0.626 0.879 0.757
Au6 0.331 0.331 0.662
Ca2 0.250 0.750 0.500

Results
- space-group type = I-4m2 (119)
- calculated density (g/cm3) = 7.11
- magnetization (μB/cell) = 0.00
- ΔE_f (meV per atom) = -276

=====

NaCaAu | GGA-PBE | optimized geometry

Cell: 3.850 4.890 4.890 Å, 120.00 90.00 90.00°
Sites, in units of the cell vectors:
Au1 0.753 0.667 0.333
Na1 0.894 0.000 0.000
Ca1 0.353 0.333 0.667

Results
- space-group type = P3m1 (156)
- calculated density (g/cm3) = 5.42
- magnetization (μB/cell) = 0.00
- ΔE_f (meV per atom) = -316

=====

Na2CaAu | GGA-PBE | optimized geometry

Cell: 5.262 5.262 5.262 Å, 60.00 60.00 60.00°
Sites, in units of the cell vectors:
Ca1 0.000 0.000 0.000
Na1 0.250 0.250 0.250
Au1 0.500 0.500 0.500
Na2 0.750 0.750 0.750

Results
- space-group type = Fm-3m (225)
- calculated density (g/cm3) = 4.56
- magnetization (μB/cell) = 0.00
- ΔE_f (meV per atom) = -111

=====

NaCa2Au6 | GGA-PBE | optimized geometry

Cell: 3.453 8.242 8.242 Å, 120.00 90.00 90.00°
Sites, in units of the cell vectors:
Au1 0.500 0.333 0.333
Au2 0.500 0.000 0.667
Au3 0.500 0.667 0.667
Au4 0.500 0.333 0.000
Au5 0.500 0.667 0.000
Ca1 0.000 0.333 0.667
Na1 0.000 0.000 0.000
Ca2 0.000 0.667 0.333
Au6 0.500 0.000 0.333

Results
- space-group type = P6/mmm (191)
- calculated density (g/cm3) = 10.50
- magnetization (μB/cell) = 0.00
- ΔE_f (meV per atom) = -536

=====

Na2CaAu | GGA-PBE | optimized geometry

Cell: 3.773 3.773 11.516 Å, 80.57 80.57 60.00°
Sites, in units of the cell vectors:
Ca1 0.000 0.000 0.000
Na1 0.108 0.108 0.675
Au1 0.500 0.500 0.500
Na2 0.892 0.892 0.325

Results
- space-group type = R-3m (166)
- calculated density (g/cm3) = 3.37
- magnetization (μB/cell) = 0.00
- ΔE_f (meV per atom) = 22

=====

Na2Ca2Au | GGA-PBE | optimized geometry

Cell: 3.971 3.971 10.341 Å, 78.93 78.93 90.00°
Sites, in units of the cell vectors:
Ca1 0.417 0.417 0.166
Ca2 0.583 0.583 0.834
Na1 0.250 0.750 0.500
Na2 0.750 0.250 0.500
Au1 0.000 0.000 0.000

Results
- space-group type = I4/mmm (139)
- calculated density (g/cm3) = 3.42
- magnetization (μB/cell) = 0.00
- ΔE_f (meV per atom) = -132

=====

NaCa3Au | GGA-PBE | optimized geometry

Cell: 5.843 5.843 5.843 Å, 90.00 90.00 90.00°
Sites, in units of the cell vectors:
Ca1 0.500 0.000 0.000
Ca2 0.000 0.000 0.500
Na1 0.000 0.000 0.000
Au1 0.500 0.500 0.500
Ca3 0.000 0.500 0.000

Results
- space-group type = Pm-3m (221)
- calculated density (g/cm3) = 2.83
- magnetization (μB/cell) = 0.00
- ΔE_f (meV per atom) = 499

=====

NaCa3Au | GGA-PBE | optimized geometry

Cell: 6.304 6.298 9.643 Å, 102.02 77.96 69.99°
Sites, in units of the cell vectors:
Au1 0.934 0.401 0.527
Ca1 0.754 0.460 0.260
Na1 0.392 0.443 0.023
Ca2 0.614 0.840 0.794
Ca3 0.393 0.441 0.610
Ca4 0.995 0.219 0.794
Ca5 0.373 0.081 0.261
Au2 0.434 0.899 0.527
Ca6 0.975 0.859 0.445
Na2 0.976 0.857 0.032

Results
- space-group type = P-1 (2)
- calculated density (g/cm3) = 3.37
- magnetization (μB/cell) = 0.00
- ΔE_f (meV per atom) = -321

=====

Number 1: energy relative to the lowest polymorph listed for this composition 0.0 meV/atom. Number 2: energy relative to the lowest polymorph listed for this composition 172.7 meV/atom. Number 3: energy relative to the lowest polymorph listed for this composition 82.1 meV/atom. Number 4: energy relative to the lowest polymorph listed for this composition 0.0 meV/atom. Number 5: energy relative to the lowest polymorph listed for this composition 215.2 meV/atom. Number 6: energy relative to the lowest polymorph listed for this composition 0.0 meV/atom. Number 7: energy relative to the lowest polymorph listed for this composition 819.6 meV/atom. Number 8: energy relative to the lowest polymorph listed for this composition 0.0 meV/atom.